The following is a DFT calculation (GGA-PBE) of a relaxed structure of NbIrF3.

Unit cell a=4.0901 b=4.0901 c=4.0901 alpha=90.00 beta=90.00 gamma=90.00
Last column: nearest neighbours and their distance in Å.
Space group Pm-3m (No. 221)
Inequivalent atoms, fractional coordinates:
Nb1 0.0000 0.0000 0.0000  6 F 2.05
Ir1 0.5000 0.5000 0.5000  12 F 2.89
F1 0.0000 0.0000 0.5000  2 Nb 2.05

***

The following is a DFT calculation (GGA-PBE) of a relaxed structure of NbIrF3.

Unit cell a=4.2982 b=4.2982 c=4.2982 alpha=90.00 beta=90.00 gamma=90.00
Last column: nearest neighbours and their distance in Å.
Space group Pm-3m (No. 221)
Inequivalent atoms, fractional coordinates:
Nb1 0.0000 0.0000 0.0000  12 F 3.04
Ir1 0.5000 0.5000 0.5000  6 F 2.15
F1 0.0000 0.5000 0.5000  2 Ir 2.15

***

The following is a DFT calculation (GGA-PBE) of a relaxed structure of Nb2IrF.

Unit cell a=6.2845 b=6.2845 c=6.2845 alpha=90.00 beta=90.00 gamma=90.00
Last column: nearest neighbours and their distance in Å.
Space group Fm-3m (No. 225)
Inequivalent atoms, fractional coordinates:
Nb1 0.2500 0.2500 0.2500  4 Ir 2.72, 4 F 2.72
Ir1 0.0000 0.0000 0.0000  8 Nb 2.72
F1 0.0000 0.0000 0.5000  8 Nb 2.72

***

The following is a DFT calculation (GGA-PBE) of a relaxed structure of NbIrF2.

Unit cell a=2.7319 b=2.7319 c=31.4964 alpha=90.00 beta=90.00 gamma=120.00
Last column: nearest neighbours and their distance in Å.
Space group R-3m (No. 166, hexagonal axes)
Inequivalent atoms, fractional coordinates:
Nb1 0.0000 0.0000 0.0000  6 F 2.20
Ir1 0.0000 0.0000 0.5000  6 Ir 2.73
F1 0.0000 0.0000 0.3820  3 Nb 2.20

***

The following is a DFT calculation (GGA-PBE) of a relaxed structure of NbIrF2.

Unit cell a=3.7450 b=3.7450 c=15.8085 alpha=90.00 beta=90.00 gamma=90.00
Last column: nearest neighbours and their distance in Å.
Space group I-42d (No. 122)
Inequivalent atoms, fractional coordinates:
Nb1 0.0000 0.0000 0.0000  4 F 2.30
Ir1 0.0000 0.0000 0.5000  4 F 2.47, 4 Nb 2.65
F1 0.1926 0.2500 0.1250  2 Nb 2.30, 2 F 2.36, 2 Ir 2.47

***

The following is a DFT calculation (GGA-PBE) of a relaxed structure of Nb2IrF.

Unit cell a=6.3907 b=6.3907 c=6.2168 alpha=90.00 beta=90.00 gamma=90.00
Last column: nearest neighbours and their distance in Å.
Space group I-42d (No. 122)
Inequivalent atoms, fractional coordinates:
Nb1 0.2074 0.2500 0.1250  2 F 2.22
Ir1 0.0000 0.0000 0.5000  4 Nb 2.58
F1 0.0000 0.0000 0.0000  4 Nb 2.22

***

Calculated formation energy without anion corrections in order - -0.593, 0.015, -0.517, -1.095, -0.764, -0.548 eV per atom
Calculated energy above the most stable polymorph in this dataset in order - 0, 608, 31, 0, 331, 0 meV/atom